Entry 1:
VASP calculation (PBE) on an optimized crystal structure of VCdCl.

Cell lengths 6.3499, 3.1806, 6.3258 Å; angles 90.00, 90.00, 90.00 degrees
Closest atoms and distances in Å follow each position.
Fractional positions:
Cl1 0.2543 0.0000 0.4827  2 V 2.38
Cl2 0.7457 0.0000 0.4827  2 V 2.38
V1 0.6517 0.5000 0.7460  1 V 1.93
V2 0.3483 0.5000 0.7460  1 V 1.93
Cd1 0.5000 0.0000 0.0964  4 V 2.89, 2 Cl 2.90, 2 Cd 3.18
Cd2 0.0000 0.0000 0.9461  4 V 3.00, 4 Cd 3.18-3.31, 2 Cl 3.35

Calculated values
Formation energy (no corrections) in meV per atom: -296
DOS(E_F) in states/eV per cell: 1.4
Energy above the most stable polymorph in this dataset in meV/atom: 0

Entry 2:
VASP calculation (PBE) on an optimized crystal structure of VCdCl.

Cell lengths 7.7627, 3.0567, 5.2902 Å; angles 90.00, 103.58, 90.00 degrees
Closest atoms and distances in Å follow each position.
Fractional positions:
Cl1 0.1601 0.0000 0.8379  3 V 2.33
Cl2 0.1601 0.5000 0.3379  3 V 2.33
V1 0.3620 0.0000 0.2410  3 Cl 2.33
V2 0.3620 0.5000 0.7410  3 Cl 2.33
Cd1 0.6664 0.0000 0.6792  3 V 2.90, 6 Cd 3.05-3.06
Cd2 0.6664 0.5000 0.1792  3 V 2.90, 6 Cd 3.05-3.06

Calculated values
Formation energy (no corrections) in meV per atom: -269
DOS(E_F) in states/eV per cell: 2.5
Energy above the most stable polymorph in this dataset in meV/atom: 27

Entry 3:
VASP calculation (PBE) on an optimized crystal structure of VCdCl.

Cell lengths 5.5589, 3.1280, 6.9710 Å; angles 90.00, 103.47, 90.00 degrees
Closest atoms and distances in Å follow each position.
Fractional positions:
Cl1 0.9635 0.5000 0.5379  3 V 2.46-2.56
Cl2 0.4328 0.0000 0.4494  3 V 2.38
V1 0.4246 0.5000 0.7057  3 Cl 2.38-2.56, 2 V 2.46
V2 0.7718 0.0000 0.7294  3 Cl 2.38-2.46, 2 V 2.46
Cd1 0.2746 0.0000 0.0033  3 V 2.87-3.00, 1 Cl 3.03, 4 Cd 3.13-3.14
Cd2 0.8139 0.5000 0.0741  3 V 2.83-2.95, 4 Cd 3.13-3.14, 1 Cl 3.15

Calculated values
Formation energy (no corrections) in meV per atom: -259
DOS(E_F) in states/eV per cell: 1.7
Energy above the most stable polymorph in this dataset in meV/atom: 37

Entry 4:
VASP calculation (PBE) on an optimized crystal structure of VCd2Cl.

Cell lengths 8.1781, 8.1781, 6.4154 Å; angles 50.40, 50.40, 90.00 degrees
Closest atoms and distances in Å follow each position.
Fractional positions:
Cd1 0.6314 0.1250 0.2500  2 Cd 2.78, 2 V 2.94, 2 Cl 3.01
Cd2 0.1186 0.6250 0.2500  2 Cd 2.78, 2 V 2.94, 2 Cl 3.01
Cd3 0.3750 0.3686 0.7500  2 Cd 2.78, 2 V 2.94, 2 Cl 3.01
Cd4 0.8750 0.8814 0.7500  2 Cd 2.78, 2 V 2.94, 2 Cl 3.01
V1 0.0000 0.0000 0.0000  2 Cl 2.78, 4 Cd 2.94
V2 0.7500 0.2500 0.5000  2 Cl 2.78, 4 Cd 2.94
Cl1 0.5000 0.5000 0.0000  2 V 2.78, 4 Cd 3.01
Cl2 0.2500 0.7500 0.5000  2 V 2.78, 4 Cd 3.01

Calculated values
Formation energy (no corrections) in meV per atom: 223
DOS(E_F) in states/eV per cell: 4.9
Energy above the most stable polymorph in this dataset in meV/atom: 0

Entry 5:
VASP calculation (PBE) on an optimized crystal structure of VCdCl.

Cell lengths 3.0527, 3.0527, 7.6015 Å; angles 90.00, 90.00, 120.00 degrees
Closest atoms and distances in Å follow each position.
Fractional positions:
Cl1 0.3333 0.6667 0.8376  3 V 2.33
V1 0.0000 0.0000 0.6370  3 Cl 2.33
Cd1 0.3333 0.6667 0.3369  3 V 2.88, 6 Cd 3.05

Calculated values
Formation energy (no corrections) in meV per atom: -277
DOS(E_F) in states/eV per cell: 1.0
Energy above the most stable polymorph in this dataset in meV/atom: 18

Entry 6:
VASP calculation (PBE) on an optimized crystal structure of VCdCl.

Cell lengths 3.0506, 3.0515, 7.6918 Å; angles 91.36, 92.03, 120.00 degrees
Closest atoms and distances in Å follow each position.
Fractional positions:
Cl1 0.4671 0.8209 0.1637  3 V 2.33
V1 0.1655 0.1821 0.3625  3 Cl 2.33
Cd1 0.8799 0.5576 0.6622  3 V 2.90, 6 Cd 3.05

Calculated values
Formation energy (no corrections) in meV per atom: -270
DOS(E_F) in states/eV per cell: 0.9
Energy above the most stable polymorph in this dataset in meV/atom: 26

Entry 7:
VASP calculation (PBE) on an optimized crystal structure of VCd3Cl.

Cell lengths 5.2759, 5.2759, 5.2759 Å; angles 90.00, 90.00, 90.00 degrees
Closest atoms and distances in Å follow each position.
Fractional positions:
Cd1 0.0000 0.5000 0.0000  2 Cl 2.64
Cd2 0.0000 0.0000 0.5000  2 Cl 2.64
Cd3 0.5000 0.0000 0.0000  2 Cl 2.64
V1 0.5000 0.5000 0.5000  12 Cd 3.73
Cl1 0.0000 0.0000 0.0000  6 Cd 2.64

Calculated values
Formation energy (no corrections) in meV per atom: 864
DOS(E_F) in states/eV per cell: 4.5
Energy above the most stable polymorph in this dataset in meV/atom: 364

Entry 8:
VASP calculation (PBE) on an optimized crystal structure of VCdCl6.

Cell lengths 6.3567, 6.3829, 6.7563 Å; angles 118.19, 99.39, 69.79 degrees
Closest atoms and distances in Å follow each position.
Fractional positions:
V1 0.0000 0.0000 0.0000  6 Cl 2.25-2.37
Cd1 0.5000 0.5000 0.0000  4 Cl 2.58
Cl1 0.7866 0.7830 0.0000  1 V 2.25
Cl2 0.2324 0.9116 0.2815  1 V 2.37, 1 Cd 2.58
Cl3 0.2134 0.2170 0.0000  1 V 2.25
Cl4 0.7676 0.3699 0.2815  1 V 2.37, 1 Cd 2.58
Cl5 0.7676 0.0884 0.7185  1 V 2.37, 1 Cd 2.58
Cl6 0.2324 0.6301 0.7185  1 V 2.37, 1 Cd 2.58

Calculated values
Formation energy (no corrections) in meV per atom: -1040
DOS(E_F) in states/eV per cell: 1.0

Entry 9:
VASP calculation (PBE) on an optimized crystal structure of V2CdCl6.

Cell lengths 3.7221, 7.0649, 9.5805 Å; angles 108.28, 90.00, 105.27 degrees
Closest atoms and distances in Å follow each position.
Fractional positions:
V1 0.6682 0.3364 0.8386  6 Cl 2.48-2.51
V2 0.3318 0.6636 0.1614  6 Cl 2.48-2.51
Cd1 0.0000 0.0000 0.5000  6 Cl 2.66-2.70
Cl1 0.2985 0.5970 0.8903  3 V 2.49-2.51
Cl2 0.7015 0.4030 0.1097  3 V 2.49-2.51
Cl3 0.9604 0.9208 0.2048  2 V 2.50, 1 Cd 2.70
Cl4 0.6470 0.2940 0.5714  1 V 2.48, 2 Cd 2.66
Cl5 0.0396 0.0793 0.7952  2 V 2.50, 1 Cd 2.70
Cl6 0.3530 0.7060 0.4286  1 V 2.48, 2 Cd 2.66

Calculated values
Formation energy (no corrections) in meV per atom: -1117

Entry 10:
VASP calculation (PBE) on an optimized crystal structure of VCd2Cl.

Cell lengths 5.0876, 5.0876, 5.0876 Å; angles 60.00, 60.00, 60.00 degrees
Closest atoms and distances in Å follow each position.
Fractional positions:
Cd1 0.2500 0.2500 0.2500  4 V 3.12, 4 Cl 3.12
Cd2 0.7500 0.7500 0.7500  4 V 3.12, 4 Cl 3.12
V1 0.5000 0.5000 0.5000  8 Cd 3.12
Cl1 0.0000 0.0000 0.0000  8 Cd 3.12

Calculated values
Formation energy (no corrections) in meV per atom: 504
DOS(E_F) in states/eV per cell: 6.2
Energy above the most stable polymorph in this dataset in meV/atom: 282

Entry 11:
VASP calculation (PBE) on an optimized crystal structure of VCdCl.

Cell lengths 5.0677, 4.5696, 5.8313 Å; angles 90.00, 100.35, 90.00 degrees
Closest atoms and distances in Å follow each position.
Fractional positions:
Cl1 0.7645 0.0000 0.6935  2 V 2.37
Cl2 0.2355 0.0000 0.3065  2 V 2.37
V1 0.3381 0.5000 0.3844  1 V 1.93
V2 0.6619 0.5000 0.6156  1 V 1.93
Cd1 0.2210 0.5000 0.8581  4 V 2.85-3.02, 2 Cd 3.01
Cd2 0.7790 0.5000 0.1419  4 V 2.85-3.02, 2 Cd 3.01

Calculated values
Formation energy (no corrections) in meV per atom: -165
DOS(E_F) in states/eV per cell: 2.5
Energy above the most stable polymorph in this dataset in meV/atom: 131

Entry 12:
VASP calculation (PBE) on an optimized crystal structure of VCdCl.

Cell lengths 6.6114, 4.8581, 9.5151 Å; angles 90.00, 124.94, 90.00 degrees
Closest atoms and distances in Å follow each position.
Fractional positions:
Cl1 0.3758 0.2173 0.1168  3 V 2.52-2.62
Cl2 0.6242 0.2173 0.8832  3 V 2.52-2.62
Cl3 0.3758 0.7173 0.6168  3 V 2.52-2.62
Cl4 0.6242 0.7173 0.3832  3 V 2.52-2.62
V1 0.5862 0.2244 0.4483  1 V 1.88
V2 0.4138 0.2244 0.5517  1 V 1.88
V3 0.5862 0.7244 0.9483  1 V 1.88
V4 0.4138 0.7244 0.0517  1 V 1.88
Cd1 0.0751 0.5314 0.2166  2 Cd 2.83, 3 V 2.90-3.16, 2 Cl 3.06-3.15
Cd2 0.9249 0.5314 0.7834  2 Cd 2.83, 3 V 2.90-3.16, 2 Cl 3.06-3.15
Cd3 0.0751 0.0314 0.7166  2 Cd 2.83, 3 V 2.90-3.16, 2 Cl 3.06-3.15
Cd4 0.9249 0.0314 0.2834  2 Cd 2.83, 3 V 2.90-3.16, 2 Cl 3.06-3.15

Calculated values
Formation energy (no corrections) in meV per atom: -79
DOS(E_F) in states/eV per cell: 3.6
Energy above the most stable polymorph in this dataset in meV/atom: 217

Entry 13:
VASP calculation (PBE) on an optimized crystal structure of VCdCl2.

Cell lengths 10.1739, 10.1739, 10.1739 Å; angles 17.77, 17.77, 17.77 degrees
Closest atoms and distances in Å follow each position.
Fractional positions:
Cd1 0.0000 0.0000 0.0000  6 Cd 3.14, 2 Cl 3.43
V1 0.5000 0.5000 0.5000  6 Cl 2.41
Cl1 0.8859 0.8859 0.8859  3 V 2.41
Cl2 0.1141 0.1141 0.1141  3 V 2.41

Calculated values
Formation energy (no corrections) in meV per atom: -619
DOS(E_F) in states/eV per cell: 1.7
Energy above the most stable polymorph in this dataset in meV/atom: 0

Entry 14:
VASP calculation (PBE) on an optimized crystal structure of VCd3Cl.

Cell lengths 5.4558, 5.4558, 5.4558 Å; angles 90.00, 90.00, 90.00 degrees
Closest atoms and distances in Å follow each position.
Fractional positions:
Cd1 0.0000 0.5000 0.0000  2 V 2.73
Cd2 0.0000 0.0000 0.5000  2 V 2.73
Cd3 0.5000 0.0000 0.0000  2 V 2.73
V1 0.0000 0.0000 0.0000  6 Cd 2.73
Cl1 0.5000 0.5000 0.5000  12 Cd 3.86

Calculated values
Formation energy (no corrections) in meV per atom: 500
DOS(E_F) in states/eV per cell: 8.1
Energy above the most stable polymorph in this dataset in meV/atom: 0

Entry 15:
VASP calculation (PBE) on an optimized crystal structure of VCd3Cl8.

Cell lengths 7.7106, 7.7093, 7.7646 Å; angles 120.08, 90.00, 120.01 degrees
Closest atoms and distances in Å follow each position.
Fractional positions:
V1 0.0000 0.0000 0.0000  6 Cl 2.50
Cd1 0.5000 0.0000 0.0000  6 Cl 2.66-2.69
Cd2 0.5000 0.5000 0.0000  6 Cl 2.66-2.69
Cd3 0.0000 0.5000 0.0000  6 Cl 2.66-2.69
Cl1 0.2561 0.5122 0.7704  3 Cd 2.66
Cl2 0.7439 0.4878 0.2296  3 Cd 2.66
Cl3 0.2377 0.0086 0.7817  1 V 2.50, 2 Cd 2.69
Cl4 0.7709 0.0086 0.7817  1 V 2.50, 2 Cd 2.69
Cl5 0.7709 0.5418 0.7818  1 V 2.50, 2 Cd 2.69
Cl6 0.2291 0.4582 0.2182  1 V 2.50, 2 Cd 2.69
Cl7 0.2291 0.9914 0.2183  1 V 2.50, 2 Cd 2.69
Cl8 0.7623 0.9914 0.2183  1 V 2.50, 2 Cd 2.69

Calculated values
Formation energy (no corrections) in meV per atom: -1101

Entry 16:
VASP calculation (PBE) on an optimized crystal structure of V3CdCl.

Cell lengths 4.3209, 4.3209, 4.3209 Å; angles 90.00, 90.00, 90.00 degrees
Closest atoms and distances in Å follow each position.
Fractional positions:
Cd1 0.5000 0.5000 0.5000  12 V 3.06
V1 0.0000 0.5000 0.0000  2 Cl 2.16
V2 0.0000 0.0000 0.5000  2 Cl 2.16
V3 0.5000 0.0000 0.0000  2 Cl 2.16
Cl1 0.0000 0.0000 0.0000  6 V 2.16

Calculated values
Formation energy (no corrections) in meV per atom: 489
DOS(E_F) in states/eV per cell: 5.1

Entry 17:
VASP calculation (PBE) on an optimized crystal structure of VCdCl4.

Cell lengths 3.7587, 7.0708, 6.6233 Å; angles 110.84, 90.00, 105.41 degrees
Closest atoms and distances in Å follow each position.
Fractional positions:
V1 0.5000 0.0000 0.5000  6 Cl 2.48-2.51
Cd1 0.0000 0.0000 0.0000  6 Cl 2.66-2.69
Cl1 0.1060 0.2121 0.4329  2 V 2.51, 1 Cd 2.69
Cl2 0.8940 0.7879 0.5671  2 V 2.51, 1 Cd 2.69
Cl3 0.6104 0.2208 0.8937  1 V 2.48, 2 Cd 2.66
Cl4 0.3896 0.7792 0.1063  1 V 2.48, 2 Cd 2.66

Calculated values
Formation energy (no corrections) in meV per atom: -1110

Entry 18:
VASP calculation (PBE) on an optimized crystal structure of VCdCl2.

Cell lengths 8.2989, 8.2989, 6.5745 Å; angles 50.87, 50.87, 90.00 degrees
Closest atoms and distances in Å follow each position.
Fractional positions:
Cd1 0.0000 0.0000 0.0000  2 V 2.96, 4 Cl 3.21
Cd2 0.7500 0.2500 0.5000  2 V 2.96, 4 Cl 3.21
V1 0.5000 0.5000 0.0000  4 Cl 2.43
V2 0.2500 0.7500 0.5000  4 Cl 2.43
Cl1 0.4980 0.1250 0.2500  2 V 2.43
Cl2 0.2520 0.6250 0.2500  2 V 2.43
Cl3 0.3750 0.5020 0.7500  2 V 2.43
Cl4 0.8750 0.7480 0.7500  2 V 2.43

Calculated values
Formation energy (no corrections) in meV per atom: -486
DOS(E_F) in states/eV per cell: 5.6
Energy above the most stable polymorph in this dataset in meV/atom: 133

Entry 19:
VASP calculation (PBE) on an optimized crystal structure of CdW4Cl.

Cell lengths 5.4096, 5.4096, 5.4096 Å; angles 60.00, 60.00, 60.00 degrees
Closest atoms and distances in Å follow each position.
Fractional positions:
Cd1 0.7500 0.7500 0.7500  12 W 3.18, 4 Cl 3.31
W1 0.8815 0.3728 0.3728  6 W 2.66-2.75
W2 0.3728 0.3728 0.8815  6 W 2.66-2.75
W3 0.3728 0.8815 0.3728  6 W 2.66-2.75
W4 0.3728 0.3728 0.3728  6 W 2.66-2.75
Cl1 0.0000 0.0000 0.0000  12 W 3.17, 4 Cd 3.31

Calculated values
Formation energy (no corrections) in meV per atom: 1145
DOS(E_F) in states/eV per cell: 6.6

Entry 20:
VASP calculation (PBE) on an optimized crystal structure of CdWCl3.

Cell lengths 5.1568, 5.1568, 5.1568 Å; angles 90.00, 90.00, 90.00 degrees
Closest atoms and distances in Å follow each position.
Fractional positions:
Cl1 0.0000 0.5000 0.0000  2 Cd 2.58
Cl2 0.0000 0.0000 0.5000  2 Cd 2.58
Cl3 0.5000 0.0000 0.0000  2 Cd 2.58
W1 0.5000 0.5000 0.5000  12 Cl 3.65
Cd1 0.0000 0.0000 0.0000  6 Cl 2.58

Calculated values
Formation energy (no corrections) in meV per atom: 660
DOS(E_F) in states/eV per cell: 9.4
Energy above the most stable polymorph in this dataset in meV/atom: 661

| no. | electronic total energy (eV/atom) | density (Mg/m³) |
| --- | --- | --- |
| 1 | -4.256 | 5.17 |
| 2 | -4.229 | 5.41 |
| 3 | -4.219 | 5.60 |
| 4 | -2.976 | 5.56 |
| 5 | -4.237 | 5.38 |
| 6 | -4.230 | 5.33 |
| 7 | -1.878 | 4.79 |
| 8 | -3.679 | 2.75 |
| 9 | -4.476 | 3.09 |
| 10 | -2.694 | 5.55 |
| 11 | -4.125 | 4.97 |
| 12 | -4.039 | 5.27 |
| 13 | -4.051 | 4.54 |
| 14 | -2.242 | 4.33 |
| 15 | -3.321 | 3.42 |
| 16 | -5.534 | 6.19 |
| 17 | -4.013 | 3.21 |
| 18 | -3.918 | 3.81 |
| 19 | -7.950 | 13.10 |
| 20 | -3.222 | 4.88 |